# Mn4TcHg

A relaxed structure of Mn4TcHg (PBE-GGA, the Alexandria database). Values from VASP.

Computed properties:
Energy relative to the elements   0.296 eV/atom
Energy   -45.569 eV/cell
Crystal system   cubic
Space-group type   F-43m (216)

```
&SYSTEM
  ibrav = 0, nat = 6, ntyp = 3
/
ATOMIC_SPECIES
Mn 54.94 Mn.upf
Tc 98.00 Tc.upf
Hg 200.59 Hg.upf
CELL_PARAMETERS angstrom
0.000 3.401 3.401
3.401 0.000 3.401
3.401 3.401 0.000
ATOMIC_POSITIONS crystal
Mn 0.124 0.124 0.124
Mn 0.124 0.124 0.627
Mn 0.124 0.627 0.124
Mn 0.627 0.124 0.124
Tc 0.500 0.500 0.500
Hg 0.750 0.750 0.750
```

=====

# MnTc2Hg

A relaxed structure of MnTc2Hg (PBE-GGA, the Alexandria database). Values from VASP.

Computed properties:
Energy relative to the elements   0.530 eV/atom
Energy   -112.326 eV/cell
Crystal system   cubic
Space-group type   F-43m (216)

```
&SYSTEM
  ibrav = 0, nat = 16, ntyp = 3
/
ATOMIC_SPECIES
Mn 54.94 Mn.upf
Tc 98.00 Tc.upf
Hg 200.59 Hg.upf
CELL_PARAMETERS angstrom
6.349 0.000 0.000
0.000 6.349 0.000
0.000 0.000 6.349
ATOMIC_POSITIONS crystal
Mn 0.000 0.000 0.000
Mn 0.000 0.500 0.500
Mn 0.500 0.000 0.500
Mn 0.500 0.500 0.000
Tc 0.000 0.000 0.500
Tc 0.000 0.500 0.000
Tc 0.250 0.250 0.250
Tc 0.250 0.750 0.750
Tc 0.500 0.000 0.000
Tc 0.500 0.500 0.500
Tc 0.750 0.250 0.750
Tc 0.750 0.750 0.250
Hg 0.250 0.250 0.750
Hg 0.250 0.750 0.250
Hg 0.750 0.250 0.250
Hg 0.750 0.750 0.750
```

=====

# MnTc2Hg

A relaxed structure of MnTc2Hg (PBE-GGA, the Alexandria database). Values from VASP.

Computed properties:
Energy relative to the elements   0.367 eV/atom
Energy   -28.737 eV/cell
Crystal system   tetragonal
Space-group type   P4/mmm (123)

```
&SYSTEM
  ibrav = 0, nat = 4, ntyp = 3
/
ATOMIC_SPECIES
Mn 54.94 Mn.upf
Tc 98.00 Tc.upf
Hg 200.59 Hg.upf
CELL_PARAMETERS angstrom
2.776 0.000 0.000
0.000 2.776 0.000
0.000 0.000 7.816
ATOMIC_POSITIONS crystal
Mn 0.000 0.000 0.000
Tc 0.500 0.500 0.210
Tc 0.500 0.500 0.790
Hg 0.000 0.000 0.500
```

=====

# MnTcHg2

A relaxed structure of MnTcHg2 (PBE-GGA, the Alexandria database). Values from VASP.

Computed properties:
Energy relative to the elements   0.567 eV/atom
Energy   -35.739 eV/cell
ΔE to the lowest computed polymorph   248 meV/atom
Crystal system   monoclinic
Space-group type   C2/m (12)

```
&SYSTEM
  ibrav = 0, nat = 8, ntyp = 3
/
ATOMIC_SPECIES
Mn 54.94 Mn.upf
Tc 98.00 Tc.upf
Hg 200.59 Hg.upf
CELL_PARAMETERS angstrom
9.549 0.000 0.000
0.000 2.980 0.000
-0.992 0.000 5.042
ATOMIC_POSITIONS crystal
Mn 0.000 0.000 0.000
Mn 0.500 0.500 0.000
Tc 0.000 0.500 0.500
Tc 0.500 0.000 0.500
Hg 0.249 0.500 0.251
Hg 0.251 0.000 0.749
Hg 0.749 0.000 0.251
Hg 0.751 0.500 0.749
```

=====

# MnTcHg

A relaxed structure of MnTcHg (PBE-GGA, the Alexandria database). Values from VASP.

Computed properties:
Energy relative to the elements   0.460 eV/atom
Energy   -18.456 eV/cell
ΔE to the lowest computed polymorph   112 meV/atom
Crystal system   trigonal
Space-group type   P3m1 (156)

```
&SYSTEM
  ibrav = 0, nat = 3, ntyp = 3
/
ATOMIC_SPECIES
Mn 54.94 Mn.upf
Tc 98.00 Tc.upf
Hg 200.59 Hg.upf
CELL_PARAMETERS angstrom
2.814 0.000 0.000
-1.407 2.437 0.000
0.000 0.000 6.834
ATOMIC_POSITIONS crystal
Mn 0.000 0.000 0.000
Tc 0.667 0.333 0.270
Hg 0.333 0.667 0.649
```

=====

# MnTcHg2

A relaxed structure of MnTcHg2 (PBE-GGA, the Alexandria database). Values from VASP.

Computed properties:
Energy relative to the elements   0.675 eV/atom
Energy   -69.755 eV/cell
ΔE to the lowest computed polymorph   356 meV/atom
Crystal system   cubic
Space-group type   F-43m (216)

```
&SYSTEM
  ibrav = 0, nat = 16, ntyp = 3
/
ATOMIC_SPECIES
Mn 54.94 Mn.upf
Tc 98.00 Tc.upf
Hg 200.59 Hg.upf
CELL_PARAMETERS angstrom
6.572 0.000 0.000
0.000 6.572 0.000
0.000 0.000 6.572
ATOMIC_POSITIONS crystal
Mn 0.000 0.000 0.000
Mn 0.000 0.500 0.500
Mn 0.500 0.000 0.500
Mn 0.500 0.500 0.000
Tc 0.250 0.250 0.250
Tc 0.250 0.750 0.750
Tc 0.750 0.250 0.750
Tc 0.750 0.750 0.250
Hg 0.000 0.000 0.500
Hg 0.000 0.500 0.000
Hg 0.250 0.250 0.750
Hg 0.250 0.750 0.250
Hg 0.500 0.000 0.000
Hg 0.500 0.500 0.500
Hg 0.750 0.250 0.250
Hg 0.750 0.750 0.750
```

=====

# MnTcHg2

A relaxed structure of MnTcHg2 (PBE-GGA, the Alexandria database). Values from VASP.

Computed properties:
Energy relative to the elements   0.492 eV/atom
Energy   -36.338 eV/cell
ΔE to the lowest computed polymorph   173 meV/atom
Crystal system   monoclinic
Space-group type   Cm (8)

```
&SYSTEM
  ibrav = 0, nat = 8, ntyp = 3
/
ATOMIC_SPECIES
Mn 54.94 Mn.upf
Tc 98.00 Tc.upf
Hg 200.59 Hg.upf
CELL_PARAMETERS angstrom
10.760 0.000 0.000
0.000 2.937 0.000
-2.004 0.000 4.561
ATOMIC_POSITIONS crystal
Mn 0.000 0.000 0.000
Mn 0.500 0.500 0.000
Tc 0.301 0.000 0.698
Tc 0.801 0.500 0.698
Hg 0.042 0.500 0.538
Hg 0.264 0.500 0.171
Hg 0.542 0.000 0.538
Hg 0.764 0.000 0.171
```

=====

# MnTcHg

A relaxed structure of MnTcHg (PBE-GGA, the Alexandria database). Values from VASP.

Computed properties:
Energy relative to the elements   0.348 eV/atom
Energy   -37.586 eV/cell
ΔE to the lowest computed polymorph   0 meV/atom
Crystal system   tetragonal
Space-group type   I4mm (107)

```
&SYSTEM
  ibrav = 0, nat = 6, ntyp = 3
/
ATOMIC_SPECIES
Mn 54.94 Mn.upf
Tc 98.00 Tc.upf
Hg 200.59 Hg.upf
CELL_PARAMETERS angstrom
2.889 0.000 0.000
0.000 2.889 0.000
0.000 0.000 11.236
ATOMIC_POSITIONS crystal
Mn 0.000 0.000 0.000
Mn 0.500 0.500 0.500
Tc 0.000 0.000 0.384
Tc 0.500 0.500 0.884
Hg 0.000 0.000 0.684
Hg 0.500 0.500 0.184
```

=====

# MnTc2Hg

A relaxed structure of MnTc2Hg (PBE-GGA, the Alexandria database). Values from VASP.

Computed properties:
Energy relative to the elements   0.390 eV/atom
Energy   -28.642 eV/cell
Crystal system   orthorhombic
Space-group type   Pmmm (47)

```
&SYSTEM
  ibrav = 0, nat = 4, ntyp = 3
/
ATOMIC_SPECIES
Mn 54.94 Mn.upf
Tc 98.00 Tc.upf
Hg 200.59 Hg.upf
CELL_PARAMETERS angstrom
2.880 0.000 0.000
0.000 3.736 0.000
0.000 0.000 5.870
ATOMIC_POSITIONS crystal
Mn 0.000 0.000 0.000
Tc 0.500 0.500 0.202
Tc 0.500 0.500 0.798
Hg 0.000 0.000 0.500
```

=====

# MnTcHg2

A relaxed structure of MnTcHg2 (PBE-GGA, the Alexandria database). Values from VASP.

Computed properties:
Energy relative to the elements   0.575 eV/atom
Energy   -53.522 eV/cell
ΔE to the lowest computed polymorph   255 meV/atom
Crystal system   trigonal
Space-group type   R-3m (166)

```
&SYSTEM
  ibrav = 0, nat = 12, ntyp = 3
/
ATOMIC_SPECIES
Mn 54.94 Mn.upf
Tc 98.00 Tc.upf
Hg 200.59 Hg.upf
CELL_PARAMETERS angstrom
2.986 0.000 0.000
-1.493 2.586 0.000
0.000 0.000 27.897
ATOMIC_POSITIONS crystal
Mn 0.000 0.000 0.000
Mn 0.333 0.667 0.667
Mn 0.667 0.333 0.333
Tc 0.000 0.000 0.500
Tc 0.333 0.667 0.167
Tc 0.667 0.333 0.833
Hg 0.000 0.000 0.251
Hg 0.000 0.000 0.749
Hg 0.333 0.667 0.416
Hg 0.333 0.667 0.918
Hg 0.667 0.333 0.082
Hg 0.667 0.333 0.584
```

=====

# MnTc2Hg

A relaxed structure of MnTc2Hg (PBE-GGA, the Alexandria database). Values from VASP.

Computed properties:
Energy relative to the elements   0.427 eV/atom
Energy   -56.994 eV/cell
Crystal system   monoclinic
Space-group type   Cm (8)

```
&SYSTEM
  ibrav = 0, nat = 8, ntyp = 3
/
ATOMIC_SPECIES
Mn 54.94 Mn.upf
Tc 98.00 Tc.upf
Hg 200.59 Hg.upf
CELL_PARAMETERS angstrom
9.142 0.000 0.000
0.000 2.924 0.000
-0.999 0.000 4.761
ATOMIC_POSITIONS crystal
Mn 0.000 0.000 0.000
Mn 0.500 0.500 0.000
Tc 0.244 0.500 0.254
Tc 0.482 0.000 0.435
Tc 0.744 0.000 0.254
Tc 0.982 0.500 0.435
Hg 0.242 0.000 0.748
Hg 0.742 0.500 0.748
```

=====

# MnTcHg2

A relaxed structure of MnTcHg2 (PBE-GGA, the Alexandria database). Values from VASP.

Computed properties:
Energy relative to the elements   0.319 eV/atom
Energy   -18.861 eV/cell
ΔE to the lowest computed polymorph   0 meV/atom
Crystal system   monoclinic
Space-group type   Pm (6)

```
&SYSTEM
  ibrav = 0, nat = 4, ntyp = 3
/
ATOMIC_SPECIES
Mn 54.94 Mn.upf
Tc 98.00 Tc.upf
Hg 200.59 Hg.upf
CELL_PARAMETERS angstrom
2.920 0.000 0.000
0.000 2.905 0.000
-1.127 0.000 8.333
ATOMIC_POSITIONS crystal
Mn 0.000 0.000 0.000
Tc 0.439 0.500 0.843
Hg 0.598 0.500 0.246
Hg 0.835 0.000 0.576
```